# 1
Computed, not measured: a relaxed structure of TcHRh2 at the GGA-PBE level of DFT.

Results
calculated volume = 11.26 Å³/atom
energy relative to the lowest polymorph listed for this composition = 5.5 meV per atom

a b c (Å): 7.050 7.050 7.050
angles (deg): 22.50 22.50 22.50
Positions (direct):
Tc (0.000, 0.000, 0.000)
H (0.500, 0.500, 0.500)
Rh (0.228, 0.228, 0.228)
Rh (0.772, 0.772, 0.772)



# 2
Computed, not measured: a relaxed structure of TiTcHRh2 at the GGA-PBE level of DFT.

Results
calculated volume = 12.07 Å³/atom
energy relative to the lowest polymorph listed for this composition = 0.0 meV per atom

a b c (Å): 3.893 3.893 3.981
angles (deg): 90.00 90.00 90.00
Positions (direct):
Ti (0.000, 0.000, 0.000)
Tc (0.500, 0.500, 0.000)
H (0.500, 0.500, 0.500)
Rh (0.000, 0.500, 0.500)
Rh (0.500, 0.000, 0.500)



# 3
Computed, not measured: a relaxed structure of TiTcHRh2 at the GGA-PBE level of DFT.

Results
calculated volume = 12.00 Å³/atom
energy relative to the lowest polymorph listed for this composition = 4.9 meV per atom

a b c (Å): 3.868 3.868 4.011
angles (deg): 90.00 90.00 90.00
Positions (direct):
Ti (0.000, 0.000, 0.000)
Tc (0.500, 0.500, 0.000)
H (0.000, 0.000, 0.500)
Rh (0.000, 0.500, 0.500)
Rh (0.500, 0.000, 0.500)



# 4
Computed, not measured: a relaxed structure of V2TcHRh at the GGA-PBE level of DFT.

Results
calculated volume = 11.37 Å³/atom
energy relative to the lowest polymorph listed for this composition = 4.1 meV per atom

a b c (Å): 3.905 3.905 3.728
angles (deg): 90.00 90.00 90.00
Positions (direct):
V (0.000, 0.500, 0.000)
V (0.500, 0.000, 0.000)
Tc (0.000, 0.000, 0.500)
H (0.000, 0.000, 0.000)
Rh (0.500, 0.500, 0.500)



# 5
Computed, not measured: a relaxed structure of V2TcHRh at the GGA-PBE level of DFT.

Results
calculated volume = 11.59 Å³/atom
energy relative to the lowest polymorph listed for this composition = 0.0 meV per atom

a b c (Å): 4.046 4.046 3.540
angles (deg): 90.00 90.00 90.00
Positions (direct):
V (0.000, 0.500, 0.000)
V (0.500, 0.000, 0.000)
Tc (0.000, 0.000, 0.500)
H (0.500, 0.500, 0.000)
Rh (0.500, 0.500, 0.500)



# 6
Computed, not measured: a relaxed structure of VTcHRh2 at the GGA-PBE level of DFT.

Results
calculated volume = 11.66 Å³/atom
energy relative to the lowest polymorph listed for this composition = 0.0 meV per atom

a b c (Å): 3.832 3.832 3.970
angles (deg): 90.00 90.00 90.00
Positions (direct):
V (0.000, 0.000, 0.000)
Tc (0.500, 0.500, 0.000)
H (0.500, 0.500, 0.500)
Rh (0.000, 0.500, 0.500)
Rh (0.500, 0.000, 0.500)



# 7
Computed, not measured: a relaxed structure of VTcHRh2 at the GGA-PBE level of DFT.

Results
calculated volume = 11.60 Å³/atom
energy relative to the lowest polymorph listed for this composition = 9.9 meV per atom

a b c (Å): 3.815 3.815 3.985
angles (deg): 90.00 90.00 90.00
Positions (direct):
V (0.000, 0.000, 0.000)
Tc (0.500, 0.500, 0.000)
H (0.000, 0.000, 0.500)
Rh (0.000, 0.500, 0.500)
Rh (0.500, 0.000, 0.500)



# 8
Computed, not measured: a relaxed structure of TcHRh2W at the GGA-PBE level of DFT.

Results
calculated volume = 12.14 Å³/atom
energy relative to the lowest polymorph listed for this composition = 70.4 meV per atom

a b c (Å): 3.849 3.849 4.099
angles (deg): 90.00 90.00 90.00
Positions (direct):
Tc (0.000, 0.000, 0.000)
H (0.500, 0.500, 0.500)
Rh (0.000, 0.500, 0.500)
Rh (0.500, 0.000, 0.500)
W (0.500, 0.500, 0.000)



# 9
Computed, not measured: a relaxed structure of TcHRh2W at the GGA-PBE level of DFT.

Results
calculated volume = 12.09 Å³/atom
energy relative to the lowest polymorph listed for this composition = 0.0 meV per atom

a b c (Å): 3.862 3.862 4.053
angles (deg): 90.00 90.00 90.00
Positions (direct):
Tc (0.000, 0.000, 0.000)
H (0.000, 0.000, 0.500)
Rh (0.000, 0.500, 0.500)
Rh (0.500, 0.000, 0.500)
W (0.500, 0.500, 0.000)



# 10
Computed, not measured: a relaxed structure of ZnTc2HRh at the GGA-PBE level of DFT.

Results
calculated volume = 12.03 Å³/atom

a b c (Å): 3.753 3.753 4.270
angles (deg): 90.00 90.00 90.00
Positions (direct):
Zn (0.000, 0.000, 0.000)
Tc (0.000, 0.500, 0.500)
Tc (0.500, 0.000, 0.500)
H (0.000, 0.000, 0.500)
Rh (0.500, 0.500, 0.000)



# 11
Computed, not measured: a relaxed structure of Zn2TcHRh at the GGA-PBE level of DFT.

Results
calculated volume = 11.95 Å³/atom

a b c (Å): 4.178 4.178 3.422
angles (deg): 90.00 90.00 90.00
Positions (direct):
Zn (0.000, 0.500, 0.000)
Zn (0.500, 0.000, 0.000)
Tc (0.000, 0.000, 0.500)
H (0.000, 0.000, 0.000)
Rh (0.500, 0.500, 0.500)



# 12
Computed, not measured: a relaxed structure of ZrTc2HRh at the GGA-PBE level of DFT.

Results
calculated volume = 13.25 Å³/atom

a b c (Å): 3.953 3.953 4.240
angles (deg): 90.00 90.00 90.00
Positions (direct):
Zr (0.000, 0.000, 0.000)
Tc (0.000, 0.500, 0.500)
Tc (0.500, 0.000, 0.500)
H (0.500, 0.500, 0.500)
Rh (0.500, 0.500, 0.000)



| no. | M_tot (μB per formula unit) | E_tot (eV/atom) |
| --- | --- | --- |
| 1 | 0.00 | -7.146 |
| 2 | 0.00 | -7.616 |
| 3 | 0.00 | -7.612 |
| 4 | 0.00 | -8.016 |
| 5 | 0.89 | -8.020 |
| 6 | 0.00 | -7.702 |
| 7 | 0.00 | -7.692 |
| 8 | 0.00 | -8.324 |
| 9 | 0.00 | -8.394 |
| 10 | 0.37 | -6.386 |
| 11 | 0.00 | -4.630 |
| 12 | 0.00 | -8.178 |